# SrBi2WO8

Crystalline SrBi2WO8 at its relaxed geometry (PBE+U, the Alexandria database).

```
SrBi2WO8
1.0
5.1210 0.0000 0.0000
0.0000 7.0324 0.0000
-0.1294 0.0000 5.1273
Sr Bi W O
1 2 1 8
Direct
0.0000 0.0000 0.0000 Sr
0.5000 0.2537 0.5000 Bi
0.5000 0.7462 0.5000 Bi
0.0000 0.5000 0.0000 W
0.1862 0.2998 0.1849 O
0.1862 0.7002 0.1849 O
0.2756 0.5000 0.7235 O
0.3244 0.0000 0.6729 O
0.6756 0.0000 0.3271 O
0.7244 0.5000 0.2765 O
0.8138 0.2998 0.8151 O
0.8138 0.7002 0.8151 O
```

Uncorrected energy (eV/atom): -6.343
Volume (A^3/atom): 15.388
Symmetry: P2/m